(1)
Computed, not measured: Sc2BeBr after structural relaxation at the GGA-PBE level of DFT.

Cell: 5.925 5.925 7.330 Å, 66.16 66.16 90.00°
Element x y z (fractional)
1 Sc 0.175 0.625 0.250
2 Sc 0.875 0.825 0.750
3 Br 0.750 0.250 0.500
4 Sc 0.575 0.125 0.250
5 Be 0.500 0.500 0.000
6 Sc 0.375 0.425 0.750
7 Be 0.250 0.750 0.500
8 Br 0.000 0.000 0.000

Computed properties:
Space-group type: No. 122
Density of states at the Fermi level (states/eV per cell): 11.228
Relative energy among the computed polymorphs (eV/f.u.): 2.28
Uncorrected formation energy (eV per atom): 0.142
M_tot (μB/atom): 0.000

(2)
Computed, not measured: ScBeBr2 after structural relaxation at the GGA-PBE level of DFT.

Cell: 3.327 3.327 8.447 Å, 90.00 90.00 90.00°
Site moments in Bohr magnetons follow the coordinates.
Element x y z (fractional)
1 Br 0.000 0.000 0.882  0.03
2 Be 0.500 0.500 0.745  0.04
3 Sc 0.000 0.000 0.538  0.52
4 Br 0.500 0.500 0.335  -0.01

Computed properties:
Space-group type: No. 99
Density of states at the Fermi level (states/eV per cell): 1.990
Relative energy among the computed polymorphs (eV/f.u.): 0.51
Uncorrected formation energy (eV per atom): -0.472
M_tot (μB/atom): 0.240

(3)
Computed, not measured: ScBeBr2 after structural relaxation at the GGA-PBE level of DFT.

Cell: 3.505 5.775 4.169 Å, 90.00 90.00 90.00°
Element x y z (fractional)
1 Sc 0.500 0.000 0.500
2 Br 0.500 0.500 0.000
3 Br 0.000 0.000 0.000
4 Be 0.000 0.500 0.500

Computed properties:
Space-group type: No. 47
Density of states at the Fermi level (states/eV per cell): 2.727
Relative energy among the computed polymorphs (eV/f.u.): 2.02
Uncorrected formation energy (eV per atom): -0.096
M_tot (μB/atom): 0.000

(4)
Computed, not measured: ScBeSeBr2 after structural relaxation at the GGA-PBE level of DFT.

Cell: 5.204 5.204 5.343 Å, 90.00 90.00 90.00°
Element x y z (fractional)
1 Be 0.500 0.500 0.500
2 Br 0.000 0.500 0.000
3 Br 0.500 0.000 0.000
4 Se 0.000 0.000 0.500
5 Sc 0.000 0.000 0.000

Computed properties:
Space-group type: No. 123
Density of states at the Fermi level (states/eV per cell): 2.478
Relative energy among the computed polymorphs (eV/f.u.): 0.49
Uncorrected formation energy (eV per atom): -0.321
M_tot (μB/atom): 0.031

(5)
Computed, not measured: ScBeSeBr2 after structural relaxation at the GGA-PBE level of DFT.

Cell: 4.652 4.652 5.011 Å, 90.00 90.00 90.00°
Site moments in Bohr magnetons follow the coordinates.
Element x y z (fractional)
1 Se 0.000 0.000 0.500  -0.03
2 Be 0.000 0.000 0.000  0.00
3 Br 0.500 0.000 0.000  -0.01
4 Br 0.000 0.500 0.000  -0.01
5 Sc 0.500 0.500 0.500  0.63

Computed properties:
Space-group type: No. 123
Density of states at the Fermi level (states/eV per cell): 4.351
Relative energy among the computed polymorphs (eV/f.u.): 0.00
Uncorrected formation energy (eV per atom): -0.418
M_tot (μB/atom): 0.154

(6)
Computed, not measured: SrSc2BeBr after structural relaxation at the GGA-PBE level of DFT.

Cell: 5.023 5.642 5.023 Å, 90.00 90.00 90.00°
Element x y z (fractional)
1 Br 0.000 0.000 0.000
2 Be 0.500 0.500 0.500
3 Sr 0.000 0.500 0.000
4 Sc 0.500 0.000 0.000
5 Sc 0.000 0.000 0.500

Computed properties:
Space-group type: No. 123
Density of states at the Fermi level (states/eV per cell): 2.900
Uncorrected formation energy (eV per atom): 0.342
M_tot (μB/atom): 0.000

(7)
Computed, not measured: Sc2BeVBr after structural relaxation at the GGA-PBE level of DFT.

Cell: 4.926 4.506 4.926 Å, 90.00 90.00 90.00°
Site moments in Bohr magnetons follow the coordinates.
Element x y z (fractional)
1 Sc 0.500 0.000 0.000  0.02
2 Br 0.000 0.000 0.000  0.00
3 V 0.000 0.500 0.000  1.69
4 Be 0.500 0.500 0.500  -0.04
5 Sc 0.000 0.000 0.500  -0.08

Computed properties:
Space-group type: No. 123
Density of states at the Fermi level (states/eV per cell): 4.384
Uncorrected formation energy (eV per atom): 0.625
M_tot (μB/atom): 0.349

(8)
Computed, not measured: BeSe2Br after structural relaxation at the GGA-PBE level of DFT.

Cell: 3.990 3.990 7.669 Å, 90.00 90.00 127.88°
Element x y z (fractional)
1 Br 0.500 0.500 0.750
2 Se 0.000 0.000 0.074
3 Be 0.500 0.500 0.250
4 Se 0.000 0.000 0.426

Computed properties:
Space-group type: No. 65
Density of states at the Fermi level (states/eV per cell): 2.088
Relative energy among the computed polymorphs (eV/f.u.): 1.24
Uncorrected formation energy (eV per atom): 0.015
M_tot (μB/atom): 0.000

(9)
Computed, not measured: BeSe4Br after structural relaxation at the GGA-PBE level of DFT.

Cell: 5.704 5.704 5.704 Å, 60.00 60.00 60.00°
Element x y z (fractional)
1 Se 0.375 0.375 0.874
2 Se 0.375 0.874 0.375
3 Se 0.375 0.375 0.375
4 Be 0.750 0.750 0.750
5 Se 0.874 0.375 0.375
6 Br 0.000 0.000 0.000

Computed properties:
Space-group type: No. 216
Density of states at the Fermi level (states/eV per cell): 8.461
Uncorrected formation energy (eV per atom): 0.819
M_tot (μB/atom): 0.000

(10)
Computed, not measured: BeSe2Br after structural relaxation at the GGA-PBE level of DFT.

Cell: 3.680 3.680 6.946 Å, 90.00 90.00 90.00°
Element x y z (fractional)
1 Se 0.500 0.500 0.000
2 Se 0.000 0.000 0.000
3 Be 0.500 0.000 0.500
4 Br 0.000 0.500 0.500

Computed properties:
Space-group type: No. 123
Density of states at the Fermi level (states/eV per cell): 3.011
Relative energy among the computed polymorphs (eV/f.u.): 2.53
Uncorrected formation energy (eV per atom): 0.338
M_tot (μB/atom): 0.000

(11)
Computed, not measured: BeSe2Br after structural relaxation at the GGA-PBE level of DFT.

Cell: 6.560 6.560 4.067 Å, 90.00 90.00 138.60°
Element x y z (fractional)
1 Se 0.000 0.000 0.000
2 Be 0.500 0.000 0.500
3 Se 0.500 0.500 0.000
4 Br 0.000 0.500 0.500

Computed properties:
Space-group type: No. 65
Density of states at the Fermi level (states/eV per cell): 2.988
Relative energy among the computed polymorphs (eV/f.u.): 3.50
Uncorrected formation energy (eV per atom): 0.580
M_tot (μB/atom): 0.000

(12)
Computed, not measured: BeSe2Br after structural relaxation at the GGA-PBE level of DFT.

Cell: 4.037 4.037 8.843 Å, 90.00 90.00 132.02°
Element x y z (fractional)
1 Br 0.500 0.500 0.649
2 Se 0.000 0.000 0.076
3 Be 0.000 0.000 0.482
4 Se 0.500 0.500 0.292

Computed properties:
Space-group type: No. 35
Density of states at the Fermi level (states/eV per cell): 0.683
Relative energy among the computed polymorphs (eV/f.u.): 1.15
Uncorrected formation energy (eV per atom): -0.008
M_tot (μB/atom): 0.000

(13)
Computed, not measured: BeSe2Br after structural relaxation at the GGA-PBE level of DFT.

Cell: 3.405 3.405 8.228 Å, 90.00 90.00 90.00°
Site moments in Bohr magnetons follow the coordinates.
Element x y z (fractional)
1 Se 0.500 0.500 0.402  0.01
2 Br 0.500 0.500 0.693  0.00
3 Be 0.000 0.000 0.330  0.00
4 Se 0.000 0.000 0.075  0.15

Computed properties:
Space-group type: No. 99
Density of states at the Fermi level (states/eV per cell): 2.092
Relative energy among the computed polymorphs (eV/f.u.): 1.45
Uncorrected formation energy (eV per atom): 0.066
M_tot (μB/atom): 0.061

(14)
Computed, not measured: BeSe2Br after structural relaxation at the GGA-PBE level of DFT.

Cell: 5.915 5.915 5.915 Å, 144.76 125.90 66.22°
Element x y z (fractional)
1 Se 0.607 0.607 0.000
2 Be 0.750 0.250 0.500
3 Br 0.250 0.750 0.500
4 Se 0.893 0.893 0.000

Computed properties:
Space-group type: No. 71
Density of states at the Fermi level (states/eV per cell): 3.072
Relative energy among the computed polymorphs (eV/f.u.): 1.92
Uncorrected formation energy (eV per atom): 0.184
M_tot (μB/atom): 0.000

(15)
Computed, not measured: BeSe2Br after structural relaxation at the GGA-PBE level of DFT.

Cell: 6.035 6.035 6.933 Å, 64.20 64.20 90.00°
Element x y z (fractional)
1 Se 0.375 0.487 0.750
2 Be 0.500 0.500 0.000
3 Se 0.237 0.625 0.250
4 Se 0.875 0.763 0.750
5 Br 0.000 0.000 0.000
6 Br 0.750 0.250 0.500
7 Se 0.513 0.125 0.250
8 Be 0.250 0.750 0.500

Computed properties:
Space-group type: No. 122
Density of states at the Fermi level (states/eV per cell): 7.072
Relative energy among the computed polymorphs (eV/f.u.): 1.47
Uncorrected formation energy (eV per atom): 0.071
M_tot (μB/atom): 0.000

(16)
Computed, not measured: BeSe2Br after structural relaxation at the GGA-PBE level of DFT.

Cell: 3.151 3.151 8.523 Å, 90.00 90.00 90.00°
Element x y z (fractional)
1 Be 0.000 0.000 0.468
2 Se 0.500 0.500 0.304
3 Br 0.500 0.500 0.655
4 Se 0.000 0.000 0.072

Computed properties:
Space-group type: No. 99
Density of states at the Fermi level (states/eV per cell): 1.575
Relative energy among the computed polymorphs (eV/f.u.): 2.84
Uncorrected formation energy (eV per atom): 0.413
M_tot (μB/atom): 0.000

(17)
Computed, not measured: BeSe2Br after structural relaxation at the GGA-PBE level of DFT.

Cell: 7.469 7.469 5.624 Å, 57.86 57.86 24.93°
Element x y z (fractional)
1 Se 0.970 0.970 0.130
2 Be 0.526 0.526 0.373
3 Br 0.137 0.137 0.378
4 Se 0.867 0.867 0.619

Computed properties:
Space-group type: No. 8
Density of states at the Fermi level (states/eV per cell): 0.720
Relative energy among the computed polymorphs (eV/f.u.): 0.32
Uncorrected formation energy (eV per atom): -0.215
M_tot (μB/atom): 0.000

(18)
Computed, not measured: BeSe2Br after structural relaxation at the GGA-PBE level of DFT.

Cell: 7.949 7.949 7.949 Å, 26.37 26.37 26.37°
Element x y z (fractional)
1 Se 0.113 0.113 0.113
2 Br 0.000 0.000 0.000
3 Be 0.500 0.500 0.500
4 Se 0.887 0.887 0.887

Computed properties:
Space-group type: No. 166
Density of states at the Fermi level (states/eV per cell): 2.839
Relative energy among the computed polymorphs (eV/f.u.): 0.83
Uncorrected formation energy (eV per atom): -0.089
M_tot (μB/atom): 0.000

(19)
Computed, not measured: BeSe2Br after structural relaxation at the GGA-PBE level of DFT.

Cell: 4.790 4.790 4.790 Å, 60.00 60.00 60.00°
Element x y z (fractional)
1 Be 0.500 0.500 0.500
2 Br 0.250 0.250 0.250
3 Se 0.000 0.000 0.000
4 Se 0.750 0.750 0.750

Computed properties:
Space-group type: No. 216
Density of states at the Fermi level (states/eV per cell): 2.925
Relative energy among the computed polymorphs (eV/f.u.): 4.28
Uncorrected formation energy (eV per atom): 0.773
M_tot (μB/atom): 0.000

(20)
Computed, not measured: BeSe2Br after structural relaxation at the GGA-PBE level of DFT.

Cell: 7.154 7.154 7.154 Å, 29.78 29.78 29.78°
Element x y z (fractional)
1 Br 0.750 0.750 0.750
2 Se 0.973 0.973 0.973
3 Se 0.527 0.527 0.527
4 Be 0.250 0.250 0.250

Computed properties:
Space-group type: No. 166
Density of states at the Fermi level (states/eV per cell): 3.144
Relative energy among the computed polymorphs (eV/f.u.): 1.38
Uncorrected formation energy (eV per atom): 0.050
M_tot (μB/atom): 0.000